DFT (GGA-PBE) results for HfTe2PtW after structural relaxation.

Unit cell a=5.2115 b=5.2115 c=4.9916 alpha=90.00 beta=90.00 gamma=90.00
Last column: nearest neighbours and their distance in Å.
Space group P4/mmm (No. 123)
One atom of each set of equivalent atoms:
Hf: 0.0000 0.0000 0.0000 (multiplicity 1)  2 Pt 2.50
Te: 0.0000 0.5000 0.5000 (multiplicity 2)  2 Pt 2.61
Pt: 0.0000 0.0000 0.5000 (multiplicity 1)  2 Hf 2.50, 4 Te 2.61
W: 0.5000 0.5000 0.0000 (multiplicity 1)  8 Te 3.61, 4 Hf 3.69

Values from the calculation:
Its density of states at the Fermi level is 4.72 states/eV/f.u. The value obtained for the formation energy from raw total energies is 1.2534 eV/atom.

=====

DFT (GGA-PBE) results for HfThPt after structural relaxation.

Unit cell a=4.5869 b=4.5869 c=7.0534 alpha=90.00 beta=90.00 gamma=90.00
Last column: nearest neighbours and their distance in Å.
Space group P4/nmm (No. 129, origin choice 2)
One atom of each set of equivalent atoms:
Hf: 0.2500 0.7500 0.0000 (multiplicity 2)  4 Pt 2.71
Th: 0.2500 0.2500 0.3748 (multiplicity 2)  1 Pt 2.96
Pt: 0.2500 0.2500 0.7947 (multiplicity 2)  4 Hf 2.71, 1 Th 2.96

Values from the calculation:
Its density of states at the Fermi level is 3.00 states/eV/f.u. The formation energy is -0.76 eV/atom.

=====

DFT (GGA-PBE) results for HfTh2Pt9 after structural relaxation.

Unit cell a=4.1772 b=4.1772 c=12.4497 alpha=90.00 beta=90.00 gamma=90.00
Last column: nearest neighbours and their distance in Å.
Space group P4/mmm (No. 123)
One atom of each set of equivalent atoms:
Hf: 0.0000 0.0000 0.0000 (multiplicity 1)  12 Pt 2.84-2.95
Th: 0.0000 0.0000 0.3281 (multiplicity 2)  12 Pt 2.95-3.00
Pt: 0.0000 0.5000 0.1548 (multiplicity 4)  8 Pt 2.84-2.99, 2 Hf 2.84, 2 Th 3.00
Pt: 0.0000 0.5000 0.5000 (multiplicity 2)  8 Pt 2.95-3.00, 4 Th 2.99
Pt: 0.5000 0.5000 0.0000 (multiplicity 1)  8 Pt 2.84, 4 Hf 2.95
Pt: 0.5000 0.5000 0.3272 (multiplicity 2)  4 Th 2.95, 8 Pt 2.99-3.00

Values from the calculation:
Its density of states at the Fermi level is 0.69 states/eV/f.u. The formation energy is -1.08 eV/atom.

=====

DFT (GGA-PBE) results for HfTh3Pt12 after structural relaxation.

Unit cell a=4.1979 b=4.1979 c=16.6434 alpha=90.00 beta=90.00 gamma=90.00
Last column: nearest neighbours and their distance in Å.
Space group P4/mmm (No. 123)
One atom of each set of equivalent atoms:
Hf: 0.0000 0.0000 0.0000 (multiplicity 1)  12 Pt 2.84-2.97
Th: 0.0000 0.0000 0.2437 (multiplicity 2)  12 Pt 2.97-3.00
Th: 0.0000 0.0000 0.5000 (multiplicity 1)  12 Pt 2.97-2.99
Pt: 0.0000 0.5000 0.1151 (multiplicity 4)  2 Hf 2.84, 8 Pt 2.84-2.99, 2 Th 3.00
Pt: 0.0000 0.5000 0.3721 (multiplicity 4)  8 Pt 2.97-3.00, 4 Th 2.99-3.00
Pt: 0.5000 0.5000 0.0000 (multiplicity 1)  8 Pt 2.84, 4 Hf 2.97
Pt: 0.5000 0.5000 0.2432 (multiplicity 2)  4 Th 2.97, 8 Pt 2.99-3.00
Pt: 0.5000 0.5000 0.5000 (multiplicity 1)  4 Th 2.97, 8 Pt 2.99

Values from the calculation:
Its density of states at the Fermi level is 1.39 states/eV/f.u. The formation energy is -1.08 eV/atom.